1.
TaReSi: optimized geometry, PBE.

The structure in extended XYZ format:
```
18
Lattice="-3.513 5.777 3.350 3.513 -5.777 3.350 3.513 5.777 -3.350" Properties=species:S:1:pos:R:3 pbc="T T T"
Ta -1.757 5.738 2.738
Ta 1.757 8.267 -1.448
Ta 1.757 5.816 2.738
Ta 1.757 -2.490 1.902
Ta 1.757 2.254 1.950
Ta 1.757 3.523 -1.400
Si 3.479 3.841 3.308
Si 1.757 6.099 0.063
Si 3.547 -3.841 3.308
Si 0.034 3.841 3.308
Si 1.757 -0.322 3.413
Si 3.479 1.936 -0.041
Re 0.000 0.000 1.645
Re 3.513 0.000 1.645
Re 0.244 4.311 0.821
Re 3.270 4.311 0.821
Re 0.244 1.466 4.170
Re -0.244 7.243 0.821
```

Properties
Its calculated total energy is -10.393 eV/atom. The space group is Ima2, No. 46. The value obtained for the spin magnetization is 0.0 μB per cell.

2.
Rb3CdB5O10: optimized geometry, PBE.

The structure in extended XYZ format:
```
76
Lattice="-1.918 -6.898 -3.178 -3.755 -7.347 18.212 -5.688 5.924 1.217" Properties=species:S:1:pos:R:3 pbc="T T T"
O -6.044 0.265 4.499
O -6.696 -0.053 2.252
O -3.148 -2.596 3.640
O -4.696 -4.934 -0.030
O -2.945 -4.636 11.427
O -6.249 -9.960 13.501
O -8.679 -2.742 7.018
O -3.070 -2.892 6.033
O -5.156 -3.254 14.402
O -2.717 -4.449 -1.298
O -6.205 -5.066 1.850
O -7.040 -5.578 17.187
O -9.639 -7.235 13.708
O -4.321 -2.742 -0.935
O -7.077 -4.453 6.663
O -6.289 -3.135 0.385
O -5.302 0.437 6.722
O -4.751 -7.142 6.264
O -6.008 -1.076 -0.823
O -5.317 -8.585 11.752
O -5.072 -5.185 15.866
O -8.415 -3.684 4.825
O -4.480 -4.243 4.686
O -8.290 -5.428 10.219
O -6.664 -3.386 16.281
O -1.721 -1.085 2.543
O -4.664 -8.267 13.999
O -6.610 -1.178 9.987
O -8.643 -3.871 17.549
O -6.881 -4.077 11.565
O -8.213 -5.724 12.611
O -6.059 -8.757 9.529
O -4.283 -3.867 9.589
O -3.469 -8.239 1.764
O -7.892 -0.081 14.488
O -5.112 1.640 2.750
O -5.352 -7.244 17.074
O -7.047 -0.522 12.258
O -2.682 -5.578 9.233
O -4.314 -7.798 3.993
B -4.140 2.298 3.634
B -5.182 0.862 5.455
B -5.777 -6.014 16.719
B -2.103 -1.640 3.705
B -4.065 -7.861 5.352
B -8.045 -3.671 6.157
B -1.956 -1.954 6.223
B -3.590 -3.258 4.807
B -7.771 -5.062 11.444
B -7.463 -4.237 17.023
B -7.296 -0.459 10.899
B -3.316 -4.649 10.094
B -5.583 -2.306 -0.468
B -3.898 -4.083 -0.772
B -9.405 -6.366 10.028
B -5.963 0.624 3.135
B -6.179 -9.182 10.797
B -9.258 -6.680 12.547
B -7.220 -10.618 12.617
B -5.397 -8.944 13.116
Rb -3.775 -0.046 0.983
Rb -6.036 -6.039 8.695
Rb -1.082 -2.507 0.166
Rb -6.305 -2.603 3.239
Rb -7.887 0.434 7.744
Rb -5.056 -5.717 13.012
Rb -7.586 -8.274 15.268
Rb -10.278 -5.813 16.085
Rb -5.325 -2.281 7.557
Rb -7.935 -2.823 13.790
Rb -3.426 -5.497 2.462
Rb -3.473 -8.754 8.507
Cd -2.092 -6.495 -0.797
Cd -9.269 -1.825 17.049
Cd -6.042 -5.698 5.177
Cd -5.319 -2.622 11.075
```

Properties
Its calculated total energy is -6.791 eV/atom. The space group is P2_1/c, No. 14.

3.
NdTlTe4Au3: optimized geometry, PBE.

The structure in extended XYZ format:
```
9
Lattice="6.784 0.000 0.000 0.000 6.784 0.000 0.000 0.000 6.784" Properties=species:S:1:pos:R:3 pbc="T T T"
Au 3.392 0.000 0.000
Au 0.000 3.392 0.000
Au 0.000 0.000 3.392
Tl 3.392 3.392 3.392
Te 5.094 1.691 1.691
Te 1.691 1.691 5.094
Te 5.094 5.094 5.094
Te 1.691 5.094 1.691
Nd 0.000 0.000 0.000
```

Properties
Its calculated total energy is -3.587 eV/atom. The space group is P-43m, No. 215. The value obtained for the spin magnetization is 0.0 μB per cell.

4.
DyHoGeCl2: optimized geometry, PBE.

The structure in extended XYZ format:
```
5
Lattice="4.066 0.000 0.000 -2.033 3.521 0.000 0.000 0.000 9.617" Properties=species:S:1:pos:R:3 pbc="T T T"
Cl 0.000 2.347 7.983
Cl 0.000 0.000 1.639
Ge 2.033 1.174 4.808
Dy 0.000 2.347 3.196
Ho 0.000 0.000 6.419
```

Properties
Its calculated total energy is -5.130 eV/atom. The space group is P3m1, No. 156. The value obtained for the spin magnetization is 0.0 μB per cell.

5.
PmNdGa3: optimized geometry, PBE.

The structure in extended XYZ format:
```
10
Lattice="2.173 -13.069 0.000 2.173 13.069 0.000 0.000 0.000 4.237" Properties=species:S:1:pos:R:3 pbc="T T T"
Ga 2.173 -12.450 1.059
Ga 2.173 9.972 3.177
Ga 2.173 12.450 3.177
Ga 2.173 -9.972 1.059
Ga 2.173 8.538 1.059
Ga 2.173 -8.538 3.177
Nd 2.173 -1.888 1.059
Nd 2.173 1.888 3.177
Pm 2.173 5.306 1.059
Pm 2.173 -5.306 3.177
```

Properties
Its calculated total energy is -4.379 eV/atom. The space group is Cmcm, No. 63. The value obtained for the spin magnetization is 0.0 μB per cell.

6.
KGeAu3Se4: optimized geometry, PBE.

The structure in extended XYZ format:
```
9
Lattice="6.567 0.000 0.000 0.000 6.567 0.000 0.000 0.000 6.567" Properties=species:S:1:pos:R:3 pbc="T T T"
Se 4.670 4.670 1.897
Se 4.670 1.897 4.670
Se 1.897 4.670 4.670
Se 1.897 1.897 1.897
K 0.000 0.000 0.000
Au 3.284 0.000 3.284
Au 0.000 3.284 3.284
Au 3.284 3.284 0.000
Ge 3.284 3.284 3.284
```

Properties
Its calculated total energy is -3.414 eV/atom. The space group is P-43m, No. 215.

7.
Er2Ag2Te3S: optimized geometry, PBE.

The structure in extended XYZ format:
```
8
Lattice="4.762 -5.114 0.000 4.762 5.114 0.000 -0.069 0.000 4.480" Properties=species:S:1:pos:R:3 pbc="T T T"
Er 4.405 0.000 3.536
Er 0.130 0.000 0.868
Ag 2.437 -2.573 0.121
Ag 2.437 2.573 0.121
Te 4.759 3.016 3.152
Te 4.759 -3.016 3.152
Te 6.613 0.000 1.297
S 2.826 0.000 1.192
```

Properties
Its calculated total energy is -4.534 eV/atom. The space group is Cm, No. 8. The value obtained for the spin magnetization is 0.0 μB per cell.

8.
TbErC2I2: optimized geometry, PBE.

The structure in extended XYZ format:
```
6
Lattice="-1.711 0.695 3.702 0.695 -2.338 3.342 8.762 6.698 2.142" Properties=species:S:1:pos:R:3 pbc="T T T"
I 6.270 4.079 7.544
I 1.510 1.001 1.657
C 3.527 2.196 5.076
C 4.176 2.826 4.101
Er 2.452 1.134 6.827
Tb 5.304 3.929 2.353
```

Properties
Its calculated total energy is -5.973 eV/atom. The space group is Cm, No. 8. The value obtained for the spin magnetization is 0.0 μB per cell.

9.
Sm3NiPt2Pb3: optimized geometry, PBE.

The structure in extended XYZ format:
```
9
Lattice="7.831 0.000 0.000 -3.916 6.782 0.000 0.000 0.000 3.977" Properties=species:S:1:pos:R:3 pbc="T T T"
Pb -0.983 1.702 1.988
Pb 1.966 0.000 1.988
Pb 2.933 5.080 1.988
Pt 0.000 4.521 1.988
Pt 3.916 2.261 1.988
Sm -2.325 4.027 0.000
Sm 1.590 2.754 0.000
Sm 4.650 0.000 0.000
Ni 0.000 0.000 0.000
```

Properties
Its calculated total energy is -5.517 eV/atom. The space group is P-62m, No. 189. The value obtained for the spin magnetization is 0.0 μB per cell.

10.
Dy2Er3LuTe2Os: optimized geometry, PBE.

The structure in extended XYZ format:
```
9
Lattice="-1.180 -1.582 3.527 6.331 3.607 3.736 -7.099 4.042 -0.561" Properties=species:S:1:pos:R:3 pbc="T T T"
Te -2.603 3.907 0.882
Te 1.833 3.763 2.301
Lu -0.583 5.808 2.411
Os -1.346 6.744 4.891
Er -4.953 1.695 1.419
Er 3.301 1.428 4.060
Er -0.892 2.223 3.014
Dy -1.690 0.983 -0.124
Dy 1.503 0.880 0.897
```

Properties
Its calculated total energy is -5.701 eV/atom. The space group is Amm2, No. 38. The value obtained for the spin magnetization is 0.0 μB per cell.

11.
TaZnFeAu: optimized geometry, PBE.

The structure in extended XYZ format:
```
4
Lattice="0.000 3.139 3.139 3.139 0.000 3.139 3.139 3.139 0.000" Properties=species:S:1:pos:R:3 pbc="T T T"
Fe 4.708 4.708 4.708
Zn 0.000 0.000 0.000
Au 1.569 1.569 1.569
Ta 3.139 3.139 3.139
```

Properties
Its calculated total energy is -6.105 eV/atom. The space group is F-43m, No. 216. The value obtained for the spin magnetization is 1.7 μB per cell. For the energy above the most stable polymorph in this dataset, the calculation gives 0 meV per atom. For the energy of formation from the pure elements, the calculation gives 0.07 eV per atom.